(1)
DFT (PBE) results for a geometry-optimized ErPd4Pt2 structure.

Structure (CIF):
```
data_ErPd4Pt2
_chemical_formula_sum 'Er2 Pd8 Pt4'
_cell_length_a 5.568
_cell_length_b 9.572
_cell_length_c 4.741
_cell_angle_alpha 90.00
_cell_angle_beta 90.00
_cell_angle_gamma 90.00
_space_group_name_H-M_alt 'C m m m'
_space_group_IT_number 65
_space_group_name_Hall '-C 2 2'
loop_
_atom_site_label
_atom_site_fract_x
_atom_site_fract_y
_atom_site_fract_z
Er1 0.000 0.000 0.000
Pd1 0.237 0.500 0.500
Pd2 0.250 0.250 0.000
Pt1 0.000 0.247 0.500
```

For the magnetization, the calculation gives 0.00 μB per formula unit. The calculation puts the energy above the most stable polymorph in this dataset at 0.0000 eV/atom. The crystal system is orthorhombic.


(2)
DFT (PBE) results for a geometry-optimized Er3Pd2Pt structure.

Structure (CIF):
```
data_Er3Pd2Pt
_chemical_formula_sum 'Er12 Pd8 Pt4'
_cell_length_a 14.558
_cell_length_b 5.639
_cell_length_c 6.457
_cell_angle_alpha 90.00
_cell_angle_beta 102.24
_cell_angle_gamma 90.00
_space_group_name_H-M_alt 'C 1 2/c 1'
_space_group_IT_number 15
_space_group_name_Hall '-C 2yc'
loop_
_atom_site_label
_atom_site_fract_x
_atom_site_fract_y
_atom_site_fract_z
Er1 0.000 0.147 0.250
Er2 0.174 0.398 0.640
Pd1 0.163 0.097 0.006
Pt1 0.000 0.356 0.750
```

For the magnetization, the calculation gives 0.00 μB per formula unit. The crystal system is monoclinic.


(3)
DFT (PBE) results for a geometry-optimized Er3Pd2Pt2 structure.

Structure (CIF):
```
data_Er3Pd2Pt2
_chemical_formula_sum 'Er3 Pd2 Pt2'
_cell_length_a 4.450
_cell_length_b 5.009
_cell_length_c 7.234
_cell_angle_alpha 76.88
_cell_angle_beta 89.91
_cell_angle_gamma 63.64
_space_group_name_H-M_alt 'P -1'
_space_group_IT_number 2
_space_group_name_Hall '-P 1'
loop_
_atom_site_label
_atom_site_fract_x
_atom_site_fract_y
_atom_site_fract_z
Er1 0.000 0.000 0.000
Er2 0.393 0.212 0.287
Pd1 0.134 0.733 0.433
Pt1 0.304 0.392 0.865
```

For the magnetization, the calculation gives 0.00 μB per formula unit. The crystal system is triclinic.


(4)
DFT (PBE) results for a geometry-optimized ErPdPt3 structure.

Structure (CIF):
```
data_ErPdPt3
_chemical_formula_sum 'Er4 Pd4 Pt12'
_cell_length_a 5.547
_cell_length_b 14.280
_cell_length_c 5.055
_cell_angle_alpha 90.00
_cell_angle_beta 90.00
_cell_angle_gamma 90.00
_space_group_name_H-M_alt 'C m c m'
_space_group_IT_number 63
_space_group_name_Hall '-C 2c 2'
loop_
_atom_site_label
_atom_site_fract_x
_atom_site_fract_y
_atom_site_fract_z
Er1 0.000 0.186 0.250
Pd1 0.000 0.313 0.750
Pt1 0.000 0.000 0.000
Pt2 0.236 0.371 0.250
```

For the magnetization, the calculation gives 0.00 μB per formula unit. The calculation puts the energy above the most stable polymorph in this dataset at 0.0314 eV/atom. The crystal system is orthorhombic.


| no. | DOS at the Fermi energy (states/eV/f.u.) | ΔH_f (0 K) (eV/atom) |
| --- | --- | --- |
| 1 | 5.45 | -0.4131 |
| 2 | 3.50 | -0.9647 |
| 3 | 3.37 | -1.0132 |
| 4 | 4.70 | -0.4886 |